Version one
A relaxed structure of AgPd3Au5. Source: Alexandria, functional GGA-PBE.

abc: 8.0589 8.0589 5.5820
angles: 90.00 90.00 120.00
Space group P6_3/mcm (No. 193)
Unique sites:
Ag: 0.0000 0.0000 0.0000
Pd: 0.0000 0.3414 0.2500
Au: 0.0000 0.3246 0.7500
Au: 0.3333 0.6667 0.0000

=====

Version two
A relaxed structure of AgPd3Au5. Source: Alexandria, functional GGA-PBE.

abc: 8.533 7.648 11.041
angles: 90.00 97.60 90.00
Space group C2/m (No. 12)
Unique sites:
Ag: 0.054 0.000 0.264
Pd: 0.000 0.000 0.000
Pd: 0.000 0.000 0.500
Pd: 0.037 0.500 0.296
Pd: 0.247 0.000 0.872
Au: 0.000 0.326 0.000
Au: 0.182 0.500 0.522
Au: 0.193 0.219 0.676
Au: 0.213 0.500 0.872

=====

Which structure wins on stability? version one wins.

=====

Version one
A relaxed structure of Ag6PdAu5. Source: Alexandria, functional GGA-PBE.

abc: 9.291 12.303 4.138
angles: 90.00 116.30 90.00
Space group C2/m (No. 12)
Unique sites:
Ag: 0.247 0.000 0.247
Ag: 0.248 0.166 0.748
Pd: 0.000 0.000 0.500
Au: 0.000 0.165 0.000
Au: 0.000 0.333 0.500
Au: 0.000 0.500 0.000

=====

Version two
A relaxed structure of Ag6PdAu5. Source: Alexandria, functional GGA-PBE.

abc: 9.715 8.768 5.059
angles: 90.00 100.14 90.00
Space group C2/m (No. 12)
Unique sites:
Ag: 0.249 0.000 0.252
Ag: 0.249 0.166 0.749
Pd: 0.000 0.000 0.500
Au: 0.000 0.165 0.000
Au: 0.000 0.331 0.500
Au: 0.000 0.500 0.000

=====

Which structure wins on stability? version one wins.

=====

Version one
A relaxed structure of Ag3Pd2Au7. Source: Alexandria, functional GGA-PBE.

abc: 4.238 26.361 4.134
angles: 90.00 90.00 90.00
Space group Cmmm (No. 65)
Unique sites:
Ag: 0.000 0.000 0.000
Ag: 0.000 0.152 0.000
Pd: 0.000 0.347 0.500
Au: 0.000 0.078 0.500
Au: 0.000 0.220 0.500
Au: 0.000 0.422 0.000
Au: 0.000 0.500 0.500

=====

Version two
A relaxed structure of Ag3Pd2Au7. Source: Alexandria, functional GGA-PBE.

abc: 4.734 2.850 16.334
angles: 90.00 91.88 90.00
Space group P2/m (No. 10)
Unique sites:
Ag: 0.000 0.000 0.000
Ag: 0.268 0.500 0.628
Pd: 0.220 0.000 0.295
Au: 0.202 0.500 0.145
Au: 0.245 0.000 0.458
Au: 0.289 0.000 0.795
Au: 0.500 0.500 0.000

=====

Which structure wins on stability? version two wins.

=====

Version one
A relaxed structure of Ag6Pd3Au2. Source: Alexandria, functional GGA-PBE.

abc: 3.954 3.954 27.127
angles: 90.00 90.00 90.00
Space group I4/mmm (No. 139)
Unique sites:
Ag: 0.000 0.000 0.246
Ag: 0.000 0.500 0.071
Pd: 0.000 0.000 0.000
Pd: 0.000 0.000 0.147
Au: 0.000 0.000 0.347

=====

Version two
A relaxed structure of Ag6Pd3Au2. Source: Alexandria, functional GGA-PBE.

abc: 5.013 6.402 6.509
angles: 107.33 104.63 96.94
Space group P-1 (No. 2)
Unique sites:
Ag: 0.049 0.410 0.185
Ag: 0.138 0.232 0.546
Ag: 0.319 0.863 0.274
Pd: 0.410 0.681 0.638
Pd: 0.500 0.500 0.000
Au: 0.232 0.050 0.910

=====

Which structure wins on stability? version two wins.